*A*
DFT (PBE-GGA) results for a relaxed structure of RbGaTc3.

Calculated values
Total magnetic moment   1.100 μB per atom
Volume   22.70 Å³/atom

Lattice parameters (Å, degrees): 4.8417 4.8417 4.8417 90.00 90.00 90.00
With the nearest neighbours (Å) after each atom.
Space group Pm-3m (No. 221)
Symmetry-distinct sites (fractional):
Rb: 0.0000 0.0000 0.0000 (multiplicity 1)  12 Tc 3.42
Ga: 0.5000 0.5000 0.5000 (multiplicity 1)  6 Tc 2.42
Tc: 0.0000 0.5000 0.5000 (multiplicity 3)  2 Ga 2.42

*B*
DFT (PBE-GGA) results for a relaxed structure of RbGaTc3.

Calculated values
Total magnetic moment   0.898 μB per atom
Volume   21.28 Å³/atom

Lattice parameters (Å, degrees): 4.7387 4.7387 4.7387 90.00 90.00 90.00
With the nearest neighbours (Å) after each atom.
Space group Pm-3m (No. 221)
Symmetry-distinct sites (fractional):
Rb: 0.0000 0.0000 0.0000 (multiplicity 1)  6 Tc 2.37
Ga: 0.5000 0.5000 0.5000 (multiplicity 1)  12 Tc 3.35
Tc: 0.0000 0.0000 0.5000 (multiplicity 3)  2 Rb 2.37

Which of them is the most stable? Correct choice: *A*.

*A*
DFT (PBE-GGA) results for a relaxed structure of RbGa2Te2.

Calculated values
Total magnetic moment   0.000 μB per atom
Volume   29.85 Å³/atom

Lattice parameters (Å, degrees): 8.8172 8.8172 3.8395 90.00 90.00 90.00
With the nearest neighbours (Å) after each atom.
Space group P4/mbm (No. 127)
Symmetry-distinct sites (fractional):
Rb: 0.0000 0.0000 0.0000 (multiplicity 2)  4 Ga 3.55, 8 Te 3.76, 2 Rb 3.84
Ga: 0.1134 0.3866 0.0000 (multiplicity 4)  1 Ga 2.83
Te: 0.1802 0.6802 0.5000 (multiplicity 4)  6 Ga 3.21-3.28

*B*
DFT (PBE-GGA) results for a relaxed structure of RbGa2Te2.

Calculated values
Total magnetic moment   0.000 μB per atom
Volume   30.69 Å³/atom

Lattice parameters (Å, degrees): 5.5881 5.5881 9.8296 90.00 90.00 90.00
With the nearest neighbours (Å) after each atom.
Space group I4/mmm (No. 139)
Symmetry-distinct sites (fractional):
Rb: 0.0000 0.0000 0.0000 (multiplicity 2)  2 Ga 3.54, 8 Te 3.72
Ga: 0.0000 0.0000 0.3597 (multiplicity 4)  1 Ga 2.76, 4 Te 2.99
Te: 0.0000 0.5000 0.2500 (multiplicity 4)  4 Ga 2.99

Which of them is the most stable? Correct choice: *B*.

*A*
DFT (PBE-GGA) results for a relaxed structure of Rb2GaTe.

Calculated values
Total magnetic moment   0.250 μB per atom
Volume   40.62 Å³/atom

Lattice parameters (Å, degrees): 8.6620 8.6620 8.6620 90.00 90.00 90.00
With the nearest neighbours (Å) after each atom.
Space group Fm-3m (No. 225)
Symmetry-distinct sites (fractional):
Rb: 0.2500 0.2500 0.2500 (multiplicity 8)  4 Te 3.75, 4 Ga 3.75
Ga: 0.0000 0.0000 0.0000 (multiplicity 4)  8 Rb 3.75
Te: 0.0000 0.0000 0.5000 (multiplicity 4)  8 Rb 3.75

*B*
DFT (PBE-GGA) results for a relaxed structure of Rb2GaTe.

Calculated values
Total magnetic moment   0.250 μB per atom
Volume   45.94 Å³/atom

Lattice parameters (Å, degrees): 5.5431 5.5431 23.9201 90.00 90.00 90.00
With the nearest neighbours (Å) after each atom.
Space group I-42d (No. 122)
Symmetry-distinct sites (fractional):
Rb: 0.2401 0.2500 0.1250 (multiplicity 8)  2 Te 3.55, 2 Ga 3.60, 2 Rb 3.84
Ga: 0.0000 0.0000 0.5000 (multiplicity 4)  4 Rb 3.60, 4 Te 3.92
Te: 0.0000 0.0000 0.0000 (multiplicity 4)  4 Rb 3.55, 4 Ga 3.92

Which of them is the most stable? Correct choice: *A*.

*A*
DFT (PBE-GGA) results for a relaxed structure of RbGaTe.

Calculated values
Total magnetic moment   0.000 μB per atom
Volume   38.15 Å³/atom

Lattice parameters (Å, degrees): 4.5715 4.5715 6.3230 90.00 90.00 120.00
With the nearest neighbours (Å) after each atom.
Space group P3m1 (No. 156)
Symmetry-distinct sites (fractional):
Rb: 0.0000 0.0000 0.0000 (multiplicity 1)  3 Ga 3.62, 3 Te 3.64
Ga: 0.6667 0.3333 0.3924 (multiplicity 1)  3 Te 2.96
Te: 0.3333 0.6667 0.6034 (multiplicity 1)  3 Ga 2.96

*B*
DFT (PBE-GGA) results for a relaxed structure of RbGaTe.

Calculated values
Total magnetic moment   0.000 μB per atom
Volume   36.90 Å³/atom

Lattice parameters (Å, degrees): 4.4724 18.8679 5.2479 90.00 90.00 90.00
With the nearest neighbours (Å) after each atom.
Space group Cmcm (No. 63)
Symmetry-distinct sites (fractional):
Rb: 0.0000 0.1742 0.2500 (multiplicity 4)  5 Te 3.60-3.90, 3 Ga 3.75-3.85
Ga: 0.0000 0.0246 0.7500 (multiplicity 4)  2 Ga 2.78, 2 Te 2.86
Te: 0.0000 0.3810 0.2500 (multiplicity 4)  2 Ga 2.86

Which of them is the most stable? Correct choice: *B*.

*A*
DFT (PBE-GGA) results for a relaxed structure of Rb2GaTe2.

Calculated values
Total magnetic moment   0.000 μB per atom
Volume   39.77 Å³/atom

Lattice parameters (Å, degrees): 8.5468 8.5468 5.4450 90.00 90.00 90.00
With the nearest neighbours (Å) after each atom.
Space group P4/mbm (No. 127)
Symmetry-distinct sites (fractional):
Rb: 0.1406 0.3594 0.0000 (multiplicity 4)  1 Rb 3.40, 2 Te 3.50
Ga: 0.0000 0.0000 0.5000 (multiplicity 2)  4 Te 3.15
Te: 0.1768 0.6768 0.5000 (multiplicity 4)  2 Ga 3.15, 2 Rb 3.50

*B*
DFT (PBE-GGA) results for a relaxed structure of Rb2GaTe2.

Calculated values
Total magnetic moment   0.000 μB per atom
Volume   41.85 Å³/atom

Lattice parameters (Å, degrees): 7.7535 14.9531 7.2185 90.00 90.00 90.00
With the nearest neighbours (Å) after each atom.
Space group Ibam (No. 72)
Symmetry-distinct sites (fractional):
Rb: 0.1810 0.1411 0.0000 (multiplicity 8)  2 Ga 3.72, 6 Te 3.74-4.02
Ga: 0.0000 0.5000 0.2500 (multiplicity 4)  4 Te 2.87
Te: 0.1957 0.3909 0.0000 (multiplicity 8)  2 Ga 2.87

Which of them is the most stable? Correct choice: *B*.

*A*
DFT (PBE-GGA) results for a relaxed structure of RbTlGa.

Calculated values
Total magnetic moment   0.000 μB per atom
Volume   38.88 Å³/atom

Lattice parameters (Å, degrees): 4.8526 4.8526 5.7195 90.00 90.00 120.00
With the nearest neighbours (Å) after each atom.
Space group P3m1 (No. 156)
Symmetry-distinct sites (fractional):
Rb: 0.0000 0.0000 0.0000 (multiplicity 1)  6 Ga 4.00-4.01, 6 Tl 4.00
Tl: 0.3333 0.6667 0.4999 (multiplicity 1)  3 Ga 2.80
Ga: 0.6667 0.3333 0.5009 (multiplicity 1)  3 Tl 2.80

*B*
DFT (PBE-GGA) results for a relaxed structure of RbTlGa.

Calculated values
Total magnetic moment   0.000 μB per atom
Volume   35.53 Å³/atom

Lattice parameters (Å, degrees): 13.0566 4.8216 8.7209 90.00 129.04 90.00
With the nearest neighbours (Å) after each atom.
Space group Cm (No. 8)
Symmetry-distinct sites (fractional):
Rb: 0.0000 0.0000 0.0000 (multiplicity 2)  6 Tl 3.82-3.89, 5 Ga 3.95-4.18, 1 Rb 4.07
Rb: 0.1466 0.0000 0.7044 (multiplicity 2)  5 Ga 3.69-4.06, 5 Tl 3.83-4.14, 1 Rb 4.07
Tl: 0.2119 0.5000 0.4335 (multiplicity 2)  3 Ga 2.93-2.94, 1 Tl 3.11
Tl: 0.2805 0.5000 0.1503 (multiplicity 2)  2 Ga 2.91, 1 Tl 3.11
Ga: 0.3684 0.0000 0.5155 (multiplicity 2)  1 Ga 2.61
Ga: 0.4412 0.0000 0.2966 (multiplicity 2)  1 Ga 2.61, 2 Tl 2.91

*C*
DFT (PBE-GGA) results for a relaxed structure of RbTlGa.

Calculated values
Total magnetic moment   0.000 μB per atom
Volume   37.07 Å³/atom

Lattice parameters (Å, degrees): 4.4283 6.8809 7.7060 98.21 106.68 90.06
With the nearest neighbours (Å) after each atom.
Space group P-1 (No. 2)
Symmetry-distinct sites (fractional):
Rb: 0.1178 0.3631 0.2348 (multiplicity 2)  4 Ga 3.64-3.96, 4 Tl 3.81-4.06
Tl: 0.4154 0.1587 0.8303 (multiplicity 2)  3 Ga 2.97-3.12
Ga: 0.2196 0.9134 0.4398 (multiplicity 2)  2 Ga 2.61

Which of them is the most stable? Correct choice: *C*.

*A*
DFT (PBE-GGA) results for a relaxed structure of Rb2VGa.

Calculated values
Total magnetic moment   1.333 μB per atom
Volume   39.99 Å³/atom

Lattice parameters (Å, degrees): 8.6168 8.6168 8.6168 90.00 90.00 90.00
With the nearest neighbours (Å) after each atom.
Space group Fm-3m (No. 225)
Symmetry-distinct sites (fractional):
Rb: 0.2500 0.2500 0.2500 (multiplicity 8)  4 V 3.73, 4 Ga 3.73
V: 0.0000 0.0000 0.0000 (multiplicity 4)  8 Rb 3.73
Ga: 0.0000 0.0000 0.5000 (multiplicity 4)  8 Rb 3.73

*B*
DFT (PBE-GGA) results for a relaxed structure of Rb2VGa.

Calculated values
Total magnetic moment   0.884 μB per atom
Volume   55.81 Å³/atom

Lattice parameters (Å, degrees): 13.2609 13.2609 5.0780 90.00 90.00 90.00
With the nearest neighbours (Å) after each atom.
Space group I-42d (No. 122)
Symmetry-distinct sites (fractional):
Rb: 0.0711 0.2500 0.1250 (multiplicity 8)  2 Ga 3.50
V: 0.0000 0.0000 0.5000 (multiplicity 4)  2 Ga 2.54
Ga: 0.0000 0.0000 0.0000 (multiplicity 4)  2 V 2.54

Which of them is the most stable? Correct choice: *B*.

*A*
DFT (PBE-GGA) results for a relaxed structure of RbV2Ga.

Calculated values
Total magnetic moment   0.001 μB per atom
Volume   25.27 Å³/atom

Lattice parameters (Å, degrees): 4.5449 4.5449 19.5703 90.00 90.00 90.00
With the nearest neighbours (Å) after each atom.
Space group I4_1/amd (No. 141, origin choice 2)
Symmetry-distinct sites (fractional):
Rb: 0.0000 0.2500 0.3750 (multiplicity 4)  4 Ga 3.21, 8 V 3.53
V: 0.0000 0.0000 0.0000 (multiplicity 8)  2 V 2.27
Ga: 0.0000 0.2500 0.8750 (multiplicity 4)  4 V 2.70

*B*
DFT (PBE-GGA) results for a relaxed structure of RbV2Ga.

Calculated values
Total magnetic moment   1.504 μB per atom
Volume   20.91 Å³/atom

Lattice parameters (Å, degrees): 6.9421 6.9421 6.9421 90.00 90.00 90.00
With the nearest neighbours (Å) after each atom.
Space group Fm-3m (No. 225)
Symmetry-distinct sites (fractional):
Rb: 0.0000 0.0000 0.0000 (multiplicity 4)  8 V 3.01
V: 0.2500 0.2500 0.2500 (multiplicity 8)  4 Ga 3.01, 4 Rb 3.01
Ga: 0.0000 0.0000 0.5000 (multiplicity 4)  8 V 3.01

Which of them is the most stable? Correct choice: *A*.

*A*
DFT (PBE-GGA) results for a relaxed structure of RbY3Ga.

Calculated values
Total magnetic moment   0.000 μB per atom
Volume   32.88 Å³/atom

Lattice parameters (Å, degrees): 5.4779 5.4779 5.4779 90.00 90.00 90.00
With the nearest neighbours (Å) after each atom.
Space group Pm-3m (No. 221)
Symmetry-distinct sites (fractional):
Rb: 0.0000 0.0000 0.0000 (multiplicity 1)  6 Y 2.74
Y: 0.0000 0.0000 0.5000 (multiplicity 3)  2 Rb 2.74
Ga: 0.5000 0.5000 0.5000 (multiplicity 1)  12 Y 3.87

*B*
DFT (PBE-GGA) results for a relaxed structure of RbY3Ga.

Calculated values
Total magnetic moment   0.000 μB per atom
Volume   37.47 Å³/atom

Lattice parameters (Å, degrees): 5.7222 5.7222 5.7222 90.00 90.00 90.00
With the nearest neighbours (Å) after each atom.
Space group Pm-3m (No. 221)
Symmetry-distinct sites (fractional):
Rb: 0.0000 0.0000 0.0000 (multiplicity 1)  12 Y 4.05
Y: 0.0000 0.5000 0.5000 (multiplicity 3)  2 Ga 2.86
Ga: 0.5000 0.5000 0.5000 (multiplicity 1)  6 Y 2.86

Which of them is the most stable? Correct choice: *B*.

*A*
DFT (PBE-GGA) results for a relaxed structure of RbYGa3.

Calculated values
Total magnetic moment   0.000 μB per atom
Volume   32.96 Å³/atom

Lattice parameters (Å, degrees): 5.4827 5.4827 5.4827 90.00 90.00 90.00
With the nearest neighbours (Å) after each atom.
Space group Pm-3m (No. 221)
Symmetry-distinct sites (fractional):
Rb: 0.0000 0.0000 0.0000 (multiplicity 1)  6 Ga 2.74
Y: 0.5000 0.5000 0.5000 (multiplicity 1)  12 Ga 3.88
Ga: 0.0000 0.0000 0.5000 (multiplicity 3)  2 Rb 2.74

*B*
DFT (PBE-GGA) results for a relaxed structure of RbYGa3.

Calculated values
Total magnetic moment   0.237 μB per atom
Volume   37.36 Å³/atom

Lattice parameters (Å, degrees): 5.7166 5.7166 5.7166 90.00 90.00 90.00
With the nearest neighbours (Å) after each atom.
Space group Pm-3m (No. 221)
Symmetry-distinct sites (fractional):
Rb: 0.0000 0.0000 0.0000 (multiplicity 1)  12 Ga 4.04
Y: 0.5000 0.5000 0.5000 (multiplicity 1)  6 Ga 2.86
Ga: 0.0000 0.5000 0.5000 (multiplicity 3)  2 Y 2.86

Which of them is the most stable? Correct choice: *B*.

*A*
DFT (PBE-GGA) results for a relaxed structure of Rb2ZnGa2.

Calculated values
Total magnetic moment   0.000 μB per atom
Volume   38.59 Å³/atom

Lattice parameters (Å, degrees): 4.4399 4.4399 33.9043 90.00 90.00 120.00
With the nearest neighbours (Å) after each atom.
Space group R-3m (No. 166, hexagonal axes)
Symmetry-distinct sites (fractional):
Rb: 0.0000 0.0000 0.0702 (multiplicity 6)  4 Ga 3.59-4.02
Zn: 0.0000 0.0000 0.5000 (multiplicity 3)  6 Ga 2.67
Ga: 0.0000 0.0000 0.1889 (multiplicity 6)  3 Zn 2.67, 3 Ga 2.97

*B*
DFT (PBE-GGA) results for a relaxed structure of Rb2ZnGa2.

Calculated values
Total magnetic moment   0.000 μB per atom
Volume   31.72 Å³/atom

Lattice parameters (Å, degrees): 7.2586 7.2586 6.0203 90.00 90.00 90.00
With the nearest neighbours (Å) after each atom.
Space group P4/mbm (No. 127)
Symmetry-distinct sites (fractional):
Rb: 0.1869 0.3131 0.0000 (multiplicity 4)  6 Ga 3.57-3.80, 5 Rb 3.74-3.84
Zn: 0.0000 0.0000 0.5000 (multiplicity 2)  4 Ga 2.86
Ga: 0.1263 0.6263 0.5000 (multiplicity 4)  1 Ga 2.59, 2 Zn 2.86

Which of them is the most stable? Correct choice: *A*.

*A*
DFT (PBE-GGA) results for a relaxed structure of RbZrGa.

Calculated values
Total magnetic moment   0.000 μB per atom
Volume   37.27 Å³/atom

Lattice parameters (Å, degrees): 3.7434 5.1811 12.5322 80.54 86.48 68.88
With the nearest neighbours (Å) after each atom.
Space group P1 (No. 1)
Symmetry-distinct sites (fractional):
Rb: 0.0000 0.0000 0.0000 (multiplicity 1)  2 Rb 3.74, 3 Zr 3.84-4.11
Rb: 0.4630 0.3439 0.3536 (multiplicity 1)  5 Ga 3.56-3.85, 2 Rb 3.74
Zr: 0.2693 0.5613 0.7683 (multiplicity 1)  3 Ga 2.80-3.04, 3 Zr 2.84-3.00
Zr: 0.5472 0.0345 0.6933 (multiplicity 1)  3 Zr 2.84-3.00, 5 Ga 2.89-3.06
Ga: 0.1747 0.8459 0.5345 (multiplicity 1)  2 Ga 2.67-2.68, 2 Zr 2.97
Ga: 0.8464 0.4717 0.6104 (multiplicity 1)  2 Ga 2.67-2.68, 4 Zr 2.80-2.89

*B*
DFT (PBE-GGA) results for a relaxed structure of RbZrGa.

Calculated values
Total magnetic moment   0.000 μB per atom
Volume   32.95 Å³/atom

Lattice parameters (Å, degrees): 3.5413 4.0317 13.9408 89.62 83.28 90.00
With the nearest neighbours (Å) after each atom.
Space group P-1 (No. 2)
Symmetry-distinct sites (fractional):
Rb: 0.0954 0.2415 0.3355 (multiplicity 2)  2 Rb 3.54, 1 Zr 3.68, 4 Ga 3.82
Zr: 0.2175 0.2484 0.0701 (multiplicity 2)  5 Ga 2.85-2.90
Ga: 0.3146 0.2533 0.8606 (multiplicity 2)  5 Zr 2.85-2.90

Which of them is the most stable? Correct choice: *B*.